Record 1
VASP calculation (PBE) on SrSn3Pt after structural relaxation.

Output
total magnetic moment = 0.000 μB/cell
DOS(E_F) = 2.35 states/eV/cell
DFT formation energy = -0.20 eV per atom

```
data_SrSn3Pt
_symmetry_space_group_name_H-M 'P m -3 m'
_symmetry_Int_Tables_number 221
_symmetry_space_group_name_Hall '-P 4 2 3'
_cell_length_a 5.355
_cell_length_b 5.355
_cell_length_c 5.355
_cell_angle_alpha 90.00
_cell_angle_beta 90.00
_cell_angle_gamma 90.00
loop_
_atom_site_label
_atom_site_type_symbol
_atom_site_fract_x
_atom_site_fract_y
_atom_site_fract_z
_atom_site_occupancy
Sr1 Sr 0.000 0.000 0.000 1
Sn1 Sn 0.000 0.500 0.500 1
Pt1 Pt 0.500 0.500 0.500 1
```

Record 2
VASP calculation (PBE) on MgAu after structural relaxation.

Output
total magnetic moment = 0.000 μB/cell
DOS(E_F) = 1.72 states/eV/cell
DFT formation energy = -0.23 eV per atom

```
data_MgAu
_symmetry_space_group_name_H-M 'P 63/m m c'
_symmetry_Int_Tables_number 194
_symmetry_space_group_name_Hall '-P 6c 2c'
_cell_length_a 4.6644
_cell_length_b 4.6644
_cell_length_c 5.4166
_cell_angle_alpha 90.00
_cell_angle_beta 90.00
_cell_angle_gamma 120.00
loop_
_atom_site_label
_atom_site_type_symbol
_atom_site_fract_x
_atom_site_fract_y
_atom_site_fract_z
_atom_site_occupancy
Mg1 Mg 0.3333 0.6667 0.2500 1
Au1 Au 0.3333 0.6667 0.7500 1
```

Record 3
VASP calculation (PBE) on ZnSiTc2S after structural relaxation.

Output
formation energy (no corrections) = 1583 meV per atom
total magnetic moment = 4.301 μB/cell
DOS(E_F) = 4.70 states/eV/cell

```
data_ZnSiTc2S
_symmetry_space_group_name_H-M 'P 4/m m m'
_symmetry_Int_Tables_number 123
_symmetry_space_group_name_Hall '-P 4 2'
_cell_length_a 4.786
_cell_length_b 4.786
_cell_length_c 4.205
_cell_angle_alpha 90.00
_cell_angle_beta 90.00
_cell_angle_gamma 90.00
loop_
_atom_site_label
_atom_site_type_symbol
_atom_site_fract_x
_atom_site_fract_y
_atom_site_fract_z
_atom_site_occupancy
Zn1 Zn 0.000 0.000 0.000 1
Si1 Si 0.500 0.500 0.500 1
Tc1 Tc 0.000 0.500 0.000 1
S1 S 0.000 0.000 0.500 1
```

Record 4
VASP calculation (PBE) on YTi2Fe9 after structural relaxation.

Output
total magnetic moment = 46.030 μB/cell
DOS(E_F) = 29.63 states/eV/cell
DFT formation energy = -0.17 eV per atom

```
data_YTi2Fe9
_symmetry_space_group_name_H-M 'R -3 m'
_symmetry_Int_Tables_number 166
_symmetry_space_group_name_Hall '-R 3 2"'
_cell_length_a 4.8900
_cell_length_b 4.8900
_cell_length_c 23.4815
_cell_angle_alpha 90.00
_cell_angle_beta 90.00
_cell_angle_gamma 120.00
loop_
_atom_site_label
_atom_site_type_symbol
_atom_site_fract_x
_atom_site_fract_y
_atom_site_fract_z
_atom_site_occupancy
Y1 Y 0.0000 0.0000 0.0000 1
Ti1 Ti 0.0000 0.0000 0.1451 1
Fe1 Fe 0.0000 0.0000 0.3332 1
Fe2 Fe 0.0000 0.0000 0.5000 1
Fe3 Fe 0.0039 0.5020 0.9133 1
```

Record 5
VASP calculation (PBE) on Mg2SiMo after structural relaxation.

Output
formation energy (no corrections) = 262 meV per atom
total magnetic moment = 0.000 μB/cell
DOS(E_F) = 5.79 states/eV/cell

```
data_Mg2SiMo
_symmetry_space_group_name_H-M 'F -4 3 m'
_symmetry_Int_Tables_number 216
_symmetry_space_group_name_Hall 'F -4 2 3'
_cell_length_a 6.362
_cell_length_b 6.362
_cell_length_c 6.362
_cell_angle_alpha 90.00
_cell_angle_beta 90.00
_cell_angle_gamma 90.00
loop_
_atom_site_label
_atom_site_type_symbol
_atom_site_fract_x
_atom_site_fract_y
_atom_site_fract_z
_atom_site_occupancy
Mg1 Mg 0.000 0.000 0.000 1
Mg2 Mg 0.250 0.250 0.250 1
Si1 Si 0.250 0.250 0.750 1
Mo1 Mo 0.000 0.000 0.500 1
```

Record 6
VASP calculation (PBE) on Li2MgTiS4 after structural relaxation.

Output
formation energy (no corrections) = -1339 meV per atom
total magnetic moment = 0.000 μB/cell
DOS(E_F) = 0.27 states/eV/cell

```
data_Li2MgTiS4
_symmetry_space_group_name_H-M 'P 1 2/m 1'
_symmetry_Int_Tables_number 10
_cell_length_a 6.265
_cell_length_b 3.586
_cell_length_c 6.358
_cell_angle_alpha 90.00
_cell_angle_beta 108.66
_cell_angle_gamma 90.00
loop_
_symmetry_equiv_pos_as_xyz
'x,y,z'
'-x,-y,-z'
'-x,y,-z'
'x,-y,z'
loop_
_atom_site_label
_atom_site_type_symbol
_atom_site_fract_x
_atom_site_fract_y
_atom_site_fract_z
_atom_site_occupancy
Li1 Li 0.000 0.000 0.000 1
Li2 Li 0.500 0.500 0.000 1
Mg1 Mg 0.000 0.500 0.500 1
Ti1 Ti 0.500 0.000 0.500 1
S1 S 0.259 0.000 0.735 1
S2 S 0.268 0.500 0.266 1
```